An optimized crystal structure of ZrAs2. Source: Alexandria via LeMat-Bulk, functional GGA-PBEsol.

Properties
DFT formation energy = -333.9 meV per atom
total moment = 0.000 μB/f.u.
SG = P6/mmm
N(E_F) = 1.1 states/eV/f.u.
theoretical density = 7.24 g/cm³

Cell: 4.754 4.754 2.823 Å, 90.00 90.00 120.00°
Sites, in units of the cell vectors:
Zr 0.000 0.000 0.000
As 0.333 0.667 0.500
As 0.667 0.333 0.500


An optimized crystal structure of ZrAs3. Source: Alexandria via LeMat-Bulk, functional GGA-PBEsol.

Properties
DFT formation energy = -55.4 meV per atom
total moment = 0.000 μB/f.u.
SG = R-3m
N(E_F) = 2.4 states/eV/f.u.
theoretical density = 6.88 g/cm³

Cell: 9.549 9.549 9.549 Å, 18.47 18.47 18.47°
Sites, in units of the cell vectors:
Zr 0.000 0.000 0.000
As 0.255 0.255 0.255
As 0.500 0.500 0.500
As 0.745 0.745 0.745